(1)
NiBi2Te2 | GGA-PBE | relaxed

a = 4.2448 Å, b = 4.2448 Å, c = 9.1308 Å
α = 76.56°, β = 76.56°, γ = 90.00°
Positions (direct):
Ni1 0.0000 0.0000 0.0000
Bi1 0.2500 0.7500 0.5000
Bi2 0.7500 0.2500 0.5000
Te1 0.5825 0.5825 0.8350
Te2 0.4175 0.4175 0.1650

Computed properties:
Its relative energy among the computed polymorphs is 0.601 eV per atom. Its formation energy without anion corrections is 650 meV/atom.


(2)
Mg3Au | GGA-PBE | relaxed

a = 7.6343 Å, b = 8.3712 Å, c = 5.3011 Å
α = 90.00°, β = 90.00°, γ = 90.00°
Positions (direct):
Mg1 0.0209 0.2500 0.9083
Mg2 0.9791 0.7500 0.0917
Mg3 0.3301 0.9404 0.8883
Mg4 0.6699 0.4404 0.1117
Mg5 0.5209 0.2500 0.5917
Mg6 0.1699 0.0596 0.3883
Mg7 0.8301 0.9404 0.6117
Mg8 0.4791 0.7500 0.4083
Mg9 0.1699 0.4404 0.3883
Mg10 0.3301 0.5596 0.8883
Mg11 0.8301 0.5596 0.6117
Mg12 0.6699 0.0596 0.1117
Au1 0.1295 0.7500 0.5762
Au2 0.8705 0.2500 0.4238
Au3 0.6295 0.7500 0.9238
Au4 0.3705 0.2500 0.0762

Computed properties:
Its relative energy among the computed polymorphs is 0.012 eV per atom. The value obtained for the formation energy is -0.40 eV/atom.


(3)
BeCu2As | GGA-PBE | relaxed

a = 4.4013 Å, b = 4.4013 Å, c = 2.8602 Å
α = 90.00°, β = 90.00°, γ = 112.09°
Positions (direct):
Cu1 0.0000 0.0000 0.0000
Cu2 0.5000 0.5000 0.0000
As1 0.5000 0.0000 0.5000
Be1 0.0000 0.5000 0.5000

Computed properties:
Its relative energy among the computed polymorphs is 0.093 eV per atom. The value obtained for the formation energy is 0.21 eV/atom.


(4)
LuScRh | GGA-PBE | relaxed

a = 4.6121 Å, b = 4.6121 Å, c = 4.6121 Å
α = 60.00°, β = 60.00°, γ = 60.00°
Positions (direct):
Lu1 0.0000 0.0000 0.0000
Rh1 0.2500 0.2500 0.2500
Sc1 0.5000 0.5000 0.5000

Computed properties:
The value obtained for the formation energy is -0.63 eV/atom.


Taking the records one at a time from the top gives final energy values of -16.58; -38.70; -15.73; -20.09 eV for the cell shown.
Taking the records one at a time from the top gives size of the total moment values of 0.50; 0.00; 0.00; 0.00 μB per formula unit.